Record 1
First-principles (PBE-GGA) data for an optimized crystal structure of Ce2Er2Pb2C, as listed in Alexandria via LeMat-Bulk.

energy of formation	-494.8	meV/atom
mass density	8919	kg/m³
N(E_F)	14.135	states/eV per cell

Structure (POSCAR):
```
Ce2Er2Pb2C
1.0
4.846 0.000 0.000
0.000 4.846 0.000
-2.423 -2.423 8.255
Ce Er Pb C
2 2 2 1
Direct
0.158 0.158 0.316 Ce
0.842 0.842 0.684 Ce
0.000 0.500 0.000 Er
0.500 0.000 0.000 Er
0.363 0.363 0.725 Pb
0.637 0.637 0.275 Pb
0.000 0.000 0.000 C
```

***

Record 2
First-principles (PBE-GGA) data for an optimized crystal structure of NiPAu, as listed in Alexandria via LeMat-Bulk.

energy of formation	-87.0	meV/atom
mass density	10656	kg/m³
N(E_F)	2.055	states/eV per cell

Structure (POSCAR):
```
NiPAu
1.0
4.536 1.901 0.050
1.879 4.546 0.050
-3.088 -3.103 5.191
Au P Ni
2 2 2
Direct
0.319 0.319 0.721 Au
0.681 0.681 0.279 Au
0.583 0.583 0.707 P
0.417 0.417 0.293 P
0.120 0.120 0.904 Ni
0.880 0.880 0.096 Ni
```

***

Record 3
First-principles (PBE-GGA) data for an optimized crystal structure of SbRhNF2, as listed in Alexandria via LeMat-Bulk.

formation energy without anion corrections	34	meV per atom
mass density	5850	kg/m³
E above lowest polymorph	0.225	eV/atom
N(E_F)	2.401	states/eV per cell

Structure (POSCAR):
```
SbRhNF2
1.0
4.356 0.000 0.000
0.000 4.356 0.000
0.000 0.000 4.140
Sb N Rh F
1 1 1 2
Direct
0.000 0.000 0.000 Sb
0.000 0.000 0.500 N
0.500 0.500 0.500 Rh
0.000 0.500 0.000 F
0.500 0.000 0.000 F
```

***

Record 4
First-principles (PBE-GGA) data for an optimized crystal structure of MgCu2Se2, as listed in Alexandria via LeMat-Bulk.

formation energy without anion corrections	-307	meV per atom
mass density	5699	kg/m³
E above lowest polymorph	0.201	eV/atom
N(E_F)	0.164	states/eV per cell

Structure (POSCAR):
```
MgCu2Se2
1.0
3.662 0.000 0.000
0.000 3.662 0.000
1.831 1.831 6.722
Mg Cu Se
1 2 2
Direct
0.000 0.000 0.000 Mg
0.750 0.250 0.500 Cu
0.250 0.750 0.500 Cu
0.381 0.381 0.238 Se
0.619 0.619 0.762 Se
```

***

Record 5
First-principles (PBE-GGA) data for an optimized crystal structure of Nd6Al3Se14, as listed in Alexandria via LeMat-Bulk.

formation energy without anion corrections	-1503	meV per atom
mass density	5733	kg/m³
N(E_F)	9.852	states/eV per cell

Structure (POSCAR):
```
Nd6Al3Se14
1.0
-2.571 -5.550 0.789
1.430 -2.118 -10.235
7.496 -2.478 6.996
Nd Al Se
6 3 14
Direct
0.253 0.806 0.104 Nd
0.253 0.896 0.702 Nd
0.253 0.298 0.194 Nd
0.748 0.528 0.561 Nd
0.748 0.439 0.967 Nd
0.748 0.033 0.472 Nd
0.837 0.000 0.000 Al
0.339 0.333 0.667 Al
0.476 0.667 0.333 Al
0.985 0.088 0.241 Se
0.985 0.759 0.848 Se
0.985 0.152 0.912 Se
0.487 0.243 0.426 Se
0.487 0.574 0.817 Se
0.487 0.183 0.757 Se
0.454 0.000 0.000 Se
0.955 0.333 0.667 Se
0.708 0.759 0.187 Se
0.708 0.813 0.572 Se
0.708 0.428 0.241 Se
0.246 0.576 0.484 Se
0.246 0.516 0.092 Se
0.246 0.908 0.424 Se
```

***

Record 6
First-principles (PBE-GGA) data for an optimized crystal structure of RePPb2, as listed in Alexandria via LeMat-Bulk.

energy of formation	1090.6	meV/atom
mass density	12257	kg/m³
N(E_F)	3.516	states/eV per cell

Structure (POSCAR):
```
RePPb2
1.0
1.716 4.860 -0.023
-1.716 4.860 -0.023
0.000 0.596 5.129
Re P Pb
1 1 2
Direct
0.000 0.000 0.500 Re
0.500 0.500 0.000 P
0.272 0.272 0.736 Pb
0.728 0.728 0.264 Pb
```

***

Record 7
First-principles (PBE-GGA) data for an optimized crystal structure of Li3ErBi2S6, as listed in Alexandria via LeMat-Bulk.

formation energy without anion corrections	-1109	meV per atom
mass density	5204	kg/m³
N(E_F)	0.000	states/eV per cell

Structure (POSCAR):
```
Li3ErBi2S6
1.0
-4.216 4.955 2.159
-2.275 -4.799 -4.334
0.456 -3.624 5.580
Li Er Bi S
3 1 2 6
Direct
0.175 0.825 0.500 Li
0.825 0.175 0.500 Li
0.500 0.500 0.500 Li
0.000 0.000 0.000 Er
0.334 0.666 0.000 Bi
0.666 0.334 0.000 Bi
0.914 0.591 0.742 S
0.762 0.762 0.256 S
0.086 0.409 0.258 S
0.591 0.914 0.742 S
0.238 0.238 0.744 S
0.409 0.086 0.258 S
```

***

Record 8
First-principles (PBE-GGA) data for an optimized crystal structure of HfGa2Cu, as listed in Alexandria via LeMat-Bulk.

energy of formation	-369.3	meV/atom
mass density	9856	kg/m³
N(E_F)	1.470	states/eV per cell

Structure (POSCAR):
```
HfGa2Cu
1.0
-3.275 1.425 1.727
-0.497 -3.492 1.939
2.217 1.385 3.061
Hf Cu Ga
1 1 2
Direct
0.500 0.500 0.500 Hf
0.500 0.000 0.000 Cu
0.000 0.000 0.500 Ga
0.000 0.500 0.000 Ga
```

***

Repeat the fifth record exactly.
First-principles (PBE-GGA) data for an optimized crystal structure of Nd6Al3Se14, as listed in Alexandria via LeMat-Bulk.

formation energy without anion corrections	-1503	meV per atom
mass density	5733	kg/m³
N(E_F)	9.852	states/eV per cell

Structure (POSCAR):
```
Nd6Al3Se14
1.0
-2.571 -5.550 0.789
1.430 -2.118 -10.235
7.496 -2.478 6.996
Nd Al Se
6 3 14
Direct
0.253 0.806 0.104 Nd
0.253 0.896 0.702 Nd
0.253 0.298 0.194 Nd
0.748 0.528 0.561 Nd
0.748 0.439 0.967 Nd
0.748 0.033 0.472 Nd
0.837 0.000 0.000 Al
0.339 0.333 0.667 Al
0.476 0.667 0.333 Al
0.985 0.088 0.241 Se
0.985 0.759 0.848 Se
0.985 0.152 0.912 Se
0.487 0.243 0.426 Se
0.487 0.574 0.817 Se
0.487 0.183 0.757 Se
0.454 0.000 0.000 Se
0.955 0.333 0.667 Se
0.708 0.759 0.187 Se
0.708 0.813 0.572 Se
0.708 0.428 0.241 Se
0.246 0.576 0.484 Se
0.246 0.516 0.092 Se
0.246 0.908 0.424 Se
```

***

Please write out number 7 again, unchanged.
First-principles (PBE-GGA) data for an optimized crystal structure of Li3ErBi2S6, as listed in Alexandria via LeMat-Bulk.

formation energy without anion corrections	-1109	meV per atom
mass density	5204	kg/m³
N(E_F)	0.000	states/eV per cell

Structure (POSCAR):
```
Li3ErBi2S6
1.0
-4.216 4.955 2.159
-2.275 -4.799 -4.334
0.456 -3.624 5.580
Li Er Bi S
3 1 2 6
Direct
0.175 0.825 0.500 Li
0.825 0.175 0.500 Li
0.500 0.500 0.500 Li
0.000 0.000 0.000 Er
0.334 0.666 0.000 Bi
0.666 0.334 0.000 Bi
0.914 0.591 0.742 S
0.762 0.762 0.256 S
0.086 0.409 0.258 S
0.591 0.914 0.742 S
0.238 0.238 0.744 S
0.409 0.086 0.258 S
```

***

> N(E_F) of number 7 (Li3ErBi2S6)?

0.000 states/eV per cell